# 1
{
  "formula": "NaTlTc",
  "functional": "GGA-PBE",
  "state": "relaxed",
  "lattice": [[2.283, -3.537, -2.114], [-1.429, -4.442, 0.641], [-2.049, -2.348, -3.532]],
  "species": ["Na", "Tc", "Tl"],
  "fractional_positions": [[0.000, 0.000, 0.000], [0.250, 0.250, 0.250], [0.750, 0.750, 0.750]],
  "magmom_total_mub_per_fu": 3.09,
  "crystal_system": "cubic",
  "space_group": "F-43m",
  "vol_a3_per_cell": 73.9,
  "final_energy_ev_per_atom": -3.337
}

***

# 2
{
  "formula": "InTe5Au3",
  "functional": "GGA-PBE",
  "state": "relaxed",
  "lattice": [[5.842, 0.000, 0.000], [-2.921, 5.060, 0.000], [0.000, 0.000, 8.529]],
  "species": ["Te", "Te", "Te", "Te", "Te", "Au", "Au", "Au", "In"],
  "fractional_positions": [[0.333, 0.667, 0.837], [0.667, 0.333, 0.163], [0.333, 0.667, 0.163], [0.667, 0.333, 0.837], [0.000, 0.000, 0.500], [0.500, 0.500, 0.500], [0.500, 0.000, 0.500], [0.000, 0.500, 0.500], [0.000, 0.000, 0.000]],
  "crystal_system": "hexagonal",
  "space_group": "P6/mmm",
  "vol_a3_per_cell": 252.1,
  "final_energy_ev_per_atom": -2.979
}